1.
# PBE Er2InSe, optimized geometry
data_Er2InSe
_chemical_formula_sum 'Er8 In4 Se4'
_symmetry_space_group_name_H-M 'C 1 2/m 1'
_symmetry_Int_Tables_number 12
_cell_length_a 12.378
_cell_length_b 6.009
_cell_length_c 6.015
_cell_angle_alpha 90.00
_cell_angle_beta 109.90
_cell_angle_gamma 90.00
loop_
_symmetry_equiv_pos_as_xyz
'x,y,z'
'-x,-y,-z'
'-x,y,-z'
'x,-y,z'
'x+1/2,y+1/2,z'
'-x+1/2,-y+1/2,-z'
'-x+1/2,y+1/2,-z'
'x+1/2,-y+1/2,z'
loop_
_atom_site_label
_atom_site_type_symbol
_atom_site_fract_x
_atom_site_fract_y
_atom_site_fract_z
Er1 Er 0.121 0.000 0.371
Er2 Er 0.137 0.500 0.941
In1 In 0.108 0.500 0.424
Se1 Se 0.124 0.000 0.883
# ΔE to the lowest computed polymorph   9.4 kJ/mol of atoms
# Energy relative to the elements, uncorrected   -968 meV/atom

2.
# PBE Er3In5Se12, optimized geometry
data_Er3In5Se12
_chemical_formula_sum 'Er24 In40 Se96'
_symmetry_space_group_name_H-M 'I a -3 d'
_symmetry_Int_Tables_number 230
_symmetry_space_group_name_Hall '-I 4bd 2c 3'
_cell_length_a 16.439
_cell_length_b 16.439
_cell_length_c 16.439
_cell_angle_alpha 90.00
_cell_angle_beta 90.00
_cell_angle_gamma 90.00
loop_
_atom_site_label
_atom_site_type_symbol
_atom_site_fract_x
_atom_site_fract_y
_atom_site_fract_z
Er1 Er 0.000 0.250 0.125
In1 In 0.000 0.000 0.000
In2 In 0.000 0.250 0.375
Se1 Se 0.020 0.066 0.653
# Energy relative to the elements, uncorrected   -941 meV/atom

3.
# PBE Er3InSe6, optimized geometry
data_Er3InSe6
_chemical_formula_sum 'Er12 In4 Se24'
_symmetry_space_group_name_H-M 'C m c 21'
_symmetry_Int_Tables_number 36
_cell_length_a 11.161
_cell_length_b 13.948
_cell_length_c 6.859
_cell_angle_alpha 90.00
_cell_angle_beta 90.00
_cell_angle_gamma 90.00
loop_
_symmetry_equiv_pos_as_xyz
'x,y,z'
'-x,-y,z+1/2'
'-x,y,z'
'x,-y,z+1/2'
'x+1/2,y+1/2,z'
'-x+1/2,-y+1/2,z+1/2'
'-x+1/2,y+1/2,z'
'x+1/2,-y+1/2,z+1/2'
loop_
_atom_site_label
_atom_site_type_symbol
_atom_site_fract_x
_atom_site_fract_y
_atom_site_fract_z
Er1 Er 0.000 0.093 0.000
Er2 Er 0.185 0.403 0.903
In1 In 0.000 0.296 0.377
Se1 Se 0.000 0.279 0.753
Se2 Se 0.000 0.467 0.205
Se3 Se 0.163 0.035 0.704
Se4 Se 0.175 0.226 0.167
# Energy relative to the elements, uncorrected   -1501 meV/atom

4.
# PBE Er5InSe4, optimized geometry
data_Er5InSe4
_chemical_formula_sum 'Er10 In2 Se8'
_symmetry_space_group_name_H-M 'I 4/m'
_symmetry_Int_Tables_number 87
_symmetry_space_group_name_Hall '-I 4'
_cell_length_a 9.207
_cell_length_b 9.207
_cell_length_c 5.808
_cell_angle_alpha 90.00
_cell_angle_beta 90.00
_cell_angle_gamma 90.00
loop_
_atom_site_label
_atom_site_type_symbol
_atom_site_fract_x
_atom_site_fract_y
_atom_site_fract_z
Er1 Er 0.000 0.000 0.000
Er2 Er 0.100 0.696 0.500
In1 In 0.000 0.000 0.500
Se1 Se 0.100 0.699 0.000
# Energy relative to the elements, uncorrected   -1440 meV/atom